[1]
Entry from Alexandria: a PBEsol-optimized structure of AlSiSb2 (SCAN).

Unit cell a=5.6771 b=5.6771 c=5.8825 alpha=116.71 beta=116.71 gamma=31.58
With the nearest neighbours (Å) after each atom.
Atoms (fractional coordinates):
Al: 0.0000 0.0000 0.0000  2 Si 2.62, 1 Sb 2.85
Si: 0.4088 0.4088 0.5938  2 Al 2.62, 1 Sb 2.70
Sb: 0.6314 0.6314 0.5095  1 Si 2.70
Sb: 0.7664 0.7664 0.0933  3 Al 2.85-3.11, 2 Si 3.03, 3 Sb 3.04-3.09

Summary:
Uncorrected formation energy ... 340 meV/atom



[2]
Entry from Alexandria: a PBEsol-optimized structure of MgSb2W (SCAN).

Unit cell a=3.3579 b=3.3849 c=7.3554 alpha=90.00 beta=95.94 gamma=90.00
With the nearest neighbours (Å) after each atom.
Atoms (fractional coordinates):
Mg: 0.0000 0.0000 0.0000  4 Sb 2.99
Sb: 0.4597 0.5000 0.2843  4 W 2.84-2.88, 2 Mg 2.99, 1 Sb 3.16
Sb: 0.5403 0.5000 0.7157  4 W 2.84-2.88, 2 Mg 2.99, 1 Sb 3.16
W: 0.0000 0.0000 0.5000  8 Sb 2.84-2.88

Summary:
Uncorrected formation energy ... 289 meV/atom



[3]
Entry from Alexandria: a PBEsol-optimized structure of SrReCl (SCAN).

Unit cell a=5.0359 b=5.0359 c=5.0359 alpha=60.00 beta=60.00 gamma=60.00
With the nearest neighbours (Å) after each atom.
Atoms (fractional coordinates):
Sr: 0.0000 0.0000 0.0000  4 Re 3.08
Re: 0.2500 0.2500 0.2500  4 Cl 3.08, 4 Sr 3.08
Cl: 0.5000 0.5000 0.5000  4 Re 3.08

Summary:
Uncorrected formation energy ... 1235 meV/atom



[4]
Entry from Alexandria: a PBEsol-optimized structure of Os2W (SCAN).

Unit cell a=4.8460 b=4.8460 c=4.8460 alpha=141.04 beta=141.04 gamma=56.27
With the nearest neighbours (Å) after each atom.
Atoms (fractional coordinates):
Os: 0.1605 0.1605 0.0000  5 W 2.67-2.90, 5 Os 2.74-2.75
Os: 0.8395 0.8395 0.0000  5 W 2.67-2.90, 5 Os 2.74-2.75
W: 0.5000 0.5000 0.0000  10 Os 2.67-2.90

Summary:
Energy of formation ... 0.48 eV/atom



[5]
Entry from Alexandria: a PBEsol-optimized structure of CaHg3Os (SCAN).

Unit cell a=5.1424 b=5.1424 c=5.1424 alpha=90.00 beta=90.00 gamma=90.00
With the nearest neighbours (Å) after each atom.
Atoms (fractional coordinates):
Ca: 0.0000 0.0000 0.0000  12 Hg 3.64
Hg: 0.0000 0.5000 0.5000  2 Os 2.57
Hg: 0.5000 0.0000 0.5000  2 Os 2.57
Hg: 0.5000 0.5000 0.0000  2 Os 2.57
Os: 0.5000 0.5000 0.5000  6 Hg 2.57

Summary:
Energy of formation ... 0.28 eV/atom



[6]
Entry from Alexandria: a PBEsol-optimized structure of Cs2OsBrClF4 (SCAN).

Unit cell a=6.5388 b=6.5388 c=6.5388 alpha=115.03 beta=115.03 gamma=98.85
With the nearest neighbours (Å) after each atom.
Atoms (fractional coordinates):
Cs: 0.0000 0.5000 0.5000  8 F 3.25-3.38, 2 Cl 3.51, 2 Br 3.54
Cs: 0.5000 0.0000 0.5000  8 F 3.25-3.38, 2 Cl 3.51, 2 Br 3.54
Os: 0.2625 0.2625 0.0000  4 F 1.96
Br: 0.5530 0.5530 0.0000  1 Os 2.47
Cl: 0.9888 0.9888 0.0000  1 Os 2.33
F: 0.0644 0.0644 0.6057  1 Os 1.96
F: 0.0644 0.4587 0.0000  1 Os 1.96
F: 0.4587 0.0644 0.0000  1 Os 1.96
F: 0.4587 0.4587 0.3943  1 Os 1.96

Summary:
Uncorrected formation energy ... -2011 meV/atom